1.
# Ag2SbPt | the Alexandria database | PBEsol | optimized geometry
# uncorrected energy	-4.395	eV per atom
data_Ag2SbPt
_cell_length_a 2.9633
_cell_length_b 2.9633
_cell_length_c 8.3761
_cell_angle_alpha 90.00
_cell_angle_beta 90.00
_cell_angle_gamma 90.00
_space_group_name_H-M_alt 'P 4/m m m'
_space_group_IT_number 123
_space_group_name_Hall '-P 4 2'
loop_
_atom_site_label
_atom_site_type_symbol
_atom_site_fract_x
_atom_site_fract_y
_atom_site_fract_z
Ag1 Ag 0.0000 0.0000 0.2220
Sb1 Sb 0.5000 0.5000 0.5000
Pt1 Pt 0.5000 0.5000 0.0000



2.
# Sc2AgPt2 | the Alexandria database | PBEsol | optimized geometry
# energy of formation from the pure elements	-4.582	eV per formula unit
data_Sc2AgPt2
_cell_length_a 7.4337
_cell_length_b 7.4337
_cell_length_c 3.2596
_cell_angle_alpha 90.00
_cell_angle_beta 90.00
_cell_angle_gamma 90.00
_space_group_name_H-M_alt 'P 4/m b m'
_space_group_IT_number 127
_space_group_name_Hall '-P 4 2ab'
loop_
_atom_site_label
_atom_site_type_symbol
_atom_site_fract_x
_atom_site_fract_y
_atom_site_fract_z
Sc1 Sc 0.1637 0.3363 0.0000
Ag1 Ag 0.0000 0.0000 0.5000
Pt1 Pt 0.1347 0.6347 0.5000



3.
# ScAg2Pt | the Alexandria database | PBEsol | optimized geometry
# energy of formation from the pure elements	-2.265	eV per formula unit
data_ScAg2Pt
_cell_length_a 3.8842
_cell_length_b 3.8842
_cell_length_c 8.7720
_cell_angle_alpha 90.00
_cell_angle_beta 90.00
_cell_angle_gamma 90.00
_space_group_name_H-M_alt 'I 4/m m m'
_space_group_IT_number 139
_space_group_name_Hall '-I 4 2'
loop_
_atom_site_label
_atom_site_type_symbol
_atom_site_fract_x
_atom_site_fract_y
_atom_site_fract_z
Sc1 Sc 0.0000 0.0000 0.0000
Ag1 Ag 0.0000 0.5000 0.2500
Pt1 Pt 0.0000 0.0000 0.5000



4.
# ScAgPt4 | the Alexandria database | PBEsol | optimized geometry
# energy of formation from the pure elements	-3.413	eV per formula unit
data_ScAgPt4
_cell_length_a 7.3722
_cell_length_b 7.3722
_cell_length_c 7.3722
_cell_angle_alpha 90.00
_cell_angle_beta 90.00
_cell_angle_gamma 90.00
_space_group_name_H-M_alt 'F -4 3 m'
_space_group_IT_number 216
_space_group_name_Hall 'F -4 2 3'
loop_
_atom_site_label
_atom_site_type_symbol
_atom_site_fract_x
_atom_site_fract_y
_atom_site_fract_z
Sc1 Sc 0.0000 0.0000 0.0000
Ag1 Ag 0.2500 0.2500 0.2500
Pt1 Pt 0.1247 0.1247 0.6247



5.
# ScAgPt | the Alexandria database | PBEsol | optimized geometry
# energy of formation from the pure elements	-2.150	eV per formula unit
data_ScAgPt
_cell_length_a 3.4322
_cell_length_b 3.4322
_cell_length_c 8.7493
_cell_angle_alpha 90.00
_cell_angle_beta 90.00
_cell_angle_gamma 90.00
_space_group_name_H-M_alt 'I 4 m m'
_space_group_IT_number 107
_space_group_name_Hall 'I 4 -2'
loop_
_atom_site_label
_atom_site_type_symbol
_atom_site_fract_x
_atom_site_fract_y
_atom_site_fract_z
Sc1 Sc 0.0000 0.0000 0.0000
Ag1 Ag 0.0000 0.0000 0.3219
Pt1 Pt 0.0000 0.0000 0.6472



6.
# AgPt2Se | the Alexandria database | PBEsol | optimized geometry
# uncorrected energy	-5.093	eV per atom
data_AgPt2Se
_cell_length_a 2.8032
_cell_length_b 4.8540
_cell_length_c 9.4391
_cell_angle_alpha 90.00
_cell_angle_beta 90.00
_cell_angle_gamma 90.00
_space_group_name_H-M_alt 'C m m m'
_space_group_IT_number 65
_space_group_name_Hall '-C 2 2'
loop_
_atom_site_label
_atom_site_type_symbol
_atom_site_fract_x
_atom_site_fract_y
_atom_site_fract_z
Ag1 Ag 0.0000 0.0000 0.0000
Pt1 Pt 0.0000 0.5000 0.2527
Se1 Se 0.0000 0.0000 0.5000



7.
# AgPt2Se | the Alexandria database | PBEsol | optimized geometry
# uncorrected energy	-5.092	eV per atom
data_AgPt2Se
_cell_length_a 2.7916
_cell_length_b 4.7958
_cell_length_c 4.8536
_cell_angle_alpha 90.00
_cell_angle_beta 90.00
_cell_angle_gamma 90.00
_space_group_name_H-M_alt 'P m m m'
_space_group_IT_number 47
_space_group_name_Hall '-P 2 2'
loop_
_atom_site_label
_atom_site_type_symbol
_atom_site_fract_x
_atom_site_fract_y
_atom_site_fract_z
Ag1 Ag 0.0000 0.0000 0.0000
Pt1 Pt 0.0000 0.5000 0.5000
Pt2 Pt 0.5000 0.0000 0.5000
Se1 Se 0.5000 0.5000 0.0000



8.
# AgPt2Se | the Alexandria database | PBEsol | optimized geometry
# uncorrected energy	-5.168	eV per atom
data_AgPt2Se
_cell_length_a 2.9396
_cell_length_b 2.9396
_cell_length_c 25.6881
_cell_angle_alpha 90.00
_cell_angle_beta 90.00
_cell_angle_gamma 120.00
_space_group_name_H-M_alt 'R -3 m'
_space_group_IT_number 166
_space_group_name_Hall '-R 3 2"'
loop_
_atom_site_label
_atom_site_type_symbol
_atom_site_fract_x
_atom_site_fract_y
_atom_site_fract_z
Ag1 Ag 0.0000 0.0000 0.0000
Pt1 Pt 0.0000 0.0000 0.2458
Se1 Se 0.0000 0.0000 0.5000



9.
# AgPtSe2 | the Alexandria database | PBEsol | optimized geometry
# uncorrected energy	-4.277	eV per atom
data_AgPtSe2
_cell_length_a 3.5320
_cell_length_b 6.3792
_cell_length_c 7.5065
_cell_angle_alpha 90.00
_cell_angle_beta 90.00
_cell_angle_gamma 90.00
_space_group_name_H-M_alt 'C m m m'
_space_group_IT_number 65
_space_group_name_Hall '-C 2 2'
loop_
_atom_site_label
_atom_site_type_symbol
_atom_site_fract_x
_atom_site_fract_y
_atom_site_fract_z
Ag1 Ag 0.0000 0.0000 0.0000
Pt1 Pt 0.0000 0.0000 0.5000
Se1 Se 0.0000 0.5000 0.2779



10.
# AgPt2Se | the Alexandria database | PBEsol | optimized geometry
# uncorrected energy	-4.998	eV per atom
data_AgPt2Se
_cell_length_a 6.3749
_cell_length_b 6.3749
_cell_length_c 6.3749
_cell_angle_alpha 90.00
_cell_angle_beta 90.00
_cell_angle_gamma 90.00
_space_group_name_H-M_alt 'F -4 3 m'
_space_group_IT_number 216
_space_group_name_Hall 'F -4 2 3'
loop_
_atom_site_label
_atom_site_type_symbol
_atom_site_fract_x
_atom_site_fract_y
_atom_site_fract_z
Ag1 Ag 0.0000 0.0000 0.0000
Pt1 Pt 0.0000 0.0000 0.5000
Pt2 Pt 0.2500 0.2500 0.7500
Se1 Se 0.2500 0.2500 0.2500



11.
# Ag2PtSe | the Alexandria database | PBEsol | optimized geometry
# uncorrected energy	-4.216	eV per atom
data_Ag2PtSe
_cell_length_a 4.0796
_cell_length_b 4.0796
_cell_length_c 8.0139
_cell_angle_alpha 90.00
_cell_angle_beta 90.00
_cell_angle_gamma 90.00
_space_group_name_H-M_alt 'I -4 m 2'
_space_group_IT_number 119
_space_group_name_Hall 'I -4 -2'
loop_
_atom_site_label
_atom_site_type_symbol
_atom_site_fract_x
_atom_site_fract_y
_atom_site_fract_z
Ag1 Ag 0.0000 0.0000 0.0000
Ag2 Ag 0.0000 0.5000 0.2500
Pt1 Pt 0.0000 0.0000 0.5000
Se1 Se 0.0000 0.5000 0.7500



12.
# Ag2PtSe | the Alexandria database | PBEsol | optimized geometry
# uncorrected energy	-4.262	eV per atom
data_Ag2PtSe
_cell_length_a 2.9493
_cell_length_b 3.8681
_cell_length_c 5.8812
_cell_angle_alpha 90.00
_cell_angle_beta 90.00
_cell_angle_gamma 90.00
_space_group_name_H-M_alt 'P m m 2'
_space_group_IT_number 25
_space_group_name_Hall 'P 2 -2'
loop_
_atom_site_label
_atom_site_type_symbol
_atom_site_fract_x
_atom_site_fract_y
_atom_site_fract_z
Ag1 Ag 0.0000 0.0000 0.0000
Ag2 Ag 0.5000 0.5000 0.2380
Pt1 Pt 0.0000 0.0000 0.5070
Se1 Se 0.5000 0.5000 0.7018



| no. | D(E_F) (states/eV per atom) |
| --- | --- |
| 1 | 0.40 |
| 2 | 0.55 |
| 3 | 0.37 |
| 4 | 0.81 |
| 5 | 0.54 |
| 6 | 0.55 |
| 7 | 0.75 |
| 8 | 0.44 |
| 9 | 0.55 |
| 10 | 0.60 |
| 11 | 0.44 |
| 12 | 0.43 |